First-principles (PBE) data for an optimized crystal structure of ScBeIF2, as listed in Alexandria.

Geometry as POSCAR:
```
ScBeIF2
1.0
4.587 0.000 0.000
0.000 4.587 0.000
0.000 0.000 5.628
Sc Be I F
1 1 1 2
Direct
0.000 0.000 0.000 Sc
0.500 0.500 0.000 Be
0.000 0.000 0.500 I
0.000 0.500 0.500 F
0.500 0.000 0.500 F
```

The density is 3.07 g cm⁻³. Its uncorrected formation energy is -0.069 eV per atom. The value obtained for the total DFT energy (no corrections) is -15.7 eV for the cell shown.